No. 1
Below is a geometry-optimized YZr2Ru structure, with properties calculated at the PBE-GGA level.

Results
The calculation puts the formation energy at -0.168 eV per atom. The value obtained for the calculated density is 6988 kg/m3. Its offset from the most stable computed form is 0.1010 eV/atom. The calculation puts the calculated volume at 22.1 A^3/atom. For the density of states at the Fermi level, the calculation gives 6.0 states/eV/f.u. For the electronic total energy, the calculation gives -8.377 eV per atom.

Cell: 3.3207 3.3207 8.0259 Å, 90.00 90.00 89.99°
Atoms (fractional coordinates):
1 Ru 0.5000 0.5000 0.2500
2 Y 0.5000 0.5000 0.7500
3 Zr 0.0000 0.0000 0.0519
4 Zr 0.0000 0.0000 0.4481



No. 2
Below is a geometry-optimized TlSb2AuF structure, with properties calculated at the PBE-GGA level.

Results
The value obtained for the calculated density is 8871 kg/m3. The calculation puts the calculated volume at 24.9 A^3/atom. For the density of states at the Fermi level, the calculation gives 3.0 states/eV/f.u. The formation energy from raw total energies comes out at -49 meV per atom. For the electronic total energy, the calculation gives -3.201 eV per atom.

Cell: 4.7575 5.4901 4.7575 Å, 90.00 90.00 90.00°
Atoms (fractional coordinates):
1 Sb 0.0000 0.0000 0.5000
2 Sb 0.5000 0.0000 0.0000
3 Tl 0.5000 0.5000 0.5000
4 Au 0.0000 0.5000 0.0000
5 F 0.0000 0.0000 0.0000



No. 3
Below is a geometry-optimized V2InSi2 structure, with properties calculated at the PBE-GGA level.

Results
The value obtained for the calculated density is 5486 kg/m3. The calculation puts the calculated volume at 16.5 A^3/atom. For the density of states at the Fermi level, the calculation gives 1.4 states/eV/f.u. The formation energy from raw total energies comes out at 8 meV per atom. For the electronic total energy, the calculation gives -6.356 eV per atom.

Cell: 3.9710 3.9710 5.9434 Å, 70.48 70.48 90.00°
Atoms (fractional coordinates):
1 Si 0.3902 0.3902 0.2197
2 Si 0.6098 0.6098 0.7803
3 In 0.0000 0.0000 0.0000
4 V 0.7500 0.2500 0.5000
5 V 0.2500 0.7500 0.5000



No. 4
Below is a geometry-optimized RbIr2PdS structure, with properties calculated at the PBE-GGA level.

Results
The value obtained for the calculated density is 10089 kg/m3. The calculation puts the calculated volume at 20.0 A^3/atom. For the density of states at the Fermi level, the calculation gives 4.5 states/eV/f.u. The formation energy from raw total energies comes out at 547 meV per atom. For the electronic total energy, the calculation gives -5.055 eV per atom.

Cell: 4.4716 5.0079 4.4716 Å, 90.00 90.00 90.00°
Atoms (fractional coordinates):
1 S 0.0000 0.0000 0.0000
2 Ir 0.0000 0.0000 0.5000
3 Ir 0.5000 0.0000 0.0000
4 Rb 0.5000 0.5000 0.5000
5 Pd 0.0000 0.5000 0.0000



No. 5
Below is a geometry-optimized In2GaAu4 structure, with properties calculated at the PBE-GGA level.

Results
The calculation puts the formation energy at 0.079 eV per atom. The value obtained for the calculated density is 10412 kg/m3. Its offset from the most stable computed form is 0.1905 eV/atom. The calculation puts the calculated volume at 24.8 A^3/atom. For the density of states at the Fermi level, the calculation gives 4.0 states/eV/f.u. For the electronic total energy, the calculation gives -3.009 eV per atom.

Cell: 5.0102 5.0102 7.7633 Å, 71.17 71.17 90.00°
Atoms (fractional coordinates):
1 Au 0.1819 0.1819 0.6363
2 Au 0.8181 0.8181 0.3637
3 Au 0.0000 0.5000 0.0000
4 Au 0.5000 0.0000 0.0000
5 Ga 0.0000 0.0000 0.0000
6 In 0.3750 0.3750 0.2501
7 In 0.6250 0.6250 0.7499



No. 6
Below is a geometry-optimized Cs2RbUBr8 structure, with properties calculated at the PBE-GGA level.

Results
The value obtained for the calculated density is 3441 kg/m3. The calculation puts the calculated volume at 49.4 A^3/atom. For the density of states at the Fermi level, the calculation gives 2.6 states/eV/f.u. The formation energy from raw total energies comes out at -1482 meV per atom. For the electronic total energy, the calculation gives -3.760 eV per atom.

Cell: 6.5105 9.0523 10.7676 Å, 90.00 90.00 110.89°
Atoms (fractional coordinates):
1 Cs 0.5008 0.4995 0.7326
2 Cs 0.4992 0.5005 0.2674
3 Rb 0.0000 0.0000 0.5000
4 U 0.0000 0.0000 0.0000
5 Br 0.0853 0.8214 0.1801
6 Br 0.5800 0.7977 0.9998
7 Br 0.9142 0.1779 0.1806
8 Br 0.9147 0.1786 0.8199
9 Br 0.4200 0.2023 0.0002
10 Br 0.0858 0.8221 0.8194
11 Br 0.4688 0.7500 0.5006
12 Br 0.5312 0.2500 0.4994



No. 7
Below is a geometry-optimized SrSb2As structure, with properties calculated at the PBE-GGA level.

Results
The value obtained for the calculated density is 5850 kg/m3. The calculation puts the calculated volume at 28.8 A^3/atom. For the density of states at the Fermi level, the calculation gives 1.3 states/eV/f.u. The formation energy from raw total energies comes out at -446 meV per atom. For the electronic total energy, the calculation gives -4.090 eV per atom.

Cell: 6.1559 6.1559 5.2834 Å, 69.70 69.70 38.24°
Atoms (fractional coordinates):
1 Sb 0.9590 0.9590 0.0912
2 Sb 0.5410 0.5410 0.4088
3 As 0.2500 0.2500 0.2500
4 Sr 0.7500 0.7500 0.7500



No. 8
Below is a geometry-optimized Sm3NpPd12 structure, with properties calculated at the PBE-GGA level.

Results
The calculation puts the formation energy at -0.730 eV per atom. The value obtained for the calculated density is 11321 kg/m3. The calculation puts the calculated volume at 18.0 A^3/atom. For the density of states at the Fermi level, the calculation gives 16.8 states/eV/f.u. For the electronic total energy, the calculation gives -6.318 eV per atom.

Cell: 4.1617 4.1617 16.6413 Å, 90.00 90.00 90.00°
Atoms (fractional coordinates):
1 Sm 0.0000 0.0000 0.2509
2 Sm 0.0000 0.0000 0.5000
3 Sm 0.0000 0.0000 0.7491
4 Np 0.0000 0.0000 0.0000
5 Pd 0.5000 0.5000 0.0000
6 Pd 0.5000 0.5000 0.2475
7 Pd 0.5000 0.5000 0.5000
8 Pd 0.5000 0.5000 0.7525
9 Pd 0.5000 0.0000 0.1200
10 Pd 0.5000 0.0000 0.3739
11 Pd 0.5000 0.0000 0.6261
12 Pd 0.5000 0.0000 0.8800
13 Pd 0.0000 0.5000 0.1200
14 Pd 0.0000 0.5000 0.3739
15 Pd 0.0000 0.5000 0.6261
16 Pd 0.0000 0.5000 0.8800



No. 9
Below is a geometry-optimized InTe2As structure, with properties calculated at the PBE-GGA level.

Results
The value obtained for the calculated density is 6749 kg/m3. Its offset from the most stable computed form is 0.3410 eV/atom. The calculation puts the calculated volume at 27.4 A^3/atom. For the density of states at the Fermi level, the calculation gives 2.3 states/eV/f.u. The formation energy from raw total energies comes out at 245 meV per atom. For the electronic total energy, the calculation gives -3.173 eV per atom.

Cell: 3.0906 3.0906 11.6403 Å, 90.00 90.00 100.08°
Atoms (fractional coordinates):
1 As 0.0000 0.0000 0.5289
2 Te 0.0000 0.0000 0.9743
3 Te 0.5000 0.5000 0.2746
4 In 0.5000 0.5000 0.7222



No. 10
Below is a geometry-optimized Na3Ca2Br3O2 structure, with properties calculated at the PBE-GGA level.

Results
The value obtained for the calculated density is 3018 kg/m3. The calculation puts the calculated volume at 23.2 A^3/atom. For the density of states at the Fermi level, the calculation gives 0.0 states/eV/f.u. The formation energy from raw total energies comes out at -2012 meV per atom. For the electronic total energy, the calculation gives -4.302 eV per atom.

Cell: 4.4316 4.4316 12.2015 Å, 100.46 100.46 90.00°
Atoms (fractional coordinates):
1 Na 0.8752 0.8752 0.7504
2 Na 0.5000 0.5000 0.0000
3 Na 0.1248 0.1248 0.2496
4 Ca 0.7500 0.2500 0.5000
5 Ca 0.2500 0.7500 0.5000
6 Br 0.6268 0.6268 0.2536
7 Br 0.3732 0.3732 0.7464
8 Br 0.0000 0.0000 0.0000
9 O 0.7774 0.7774 0.5547
10 O 0.2226 0.2226 0.4453



No. 11
Below is a geometry-optimized Nd2AgSn3 structure, with properties calculated at the PBE-GGA level.

Results
The calculation puts the formation energy at -0.500 eV per atom. The value obtained for the calculated density is 7615 kg/m3. The calculation puts the calculated volume at 27.3 A^3/atom. For the density of states at the Fermi level, the calculation gives 3.9 states/eV/f.u. For the electronic total energy, the calculation gives -4.566 eV per atom.

Cell: 4.1335 4.8806 8.1334 Å, 90.00 90.00 90.00°
Atoms (fractional coordinates):
1 Nd 0.0000 0.5000 0.9921
2 Nd 0.0000 0.0000 0.5096
3 Ag 0.5000 0.5000 0.3238
4 Sn 0.5000 0.0000 0.8366
5 Sn 0.5000 0.0000 0.1836
6 Sn 0.5000 0.5000 0.6543



No. 12
Below is a geometry-optimized Ag2Sn2Cl structure, with properties calculated at the PBE-GGA level.

Results
The value obtained for the calculated density is 6827 kg/m3. Its offset from the most stable computed form is 0.0000 eV/atom. The calculation puts the calculated volume at 23.8 A^3/atom. For the density of states at the Fermi level, the calculation gives 1.8 states/eV/f.u. The formation energy from raw total energies comes out at -81 meV per atom. For the electronic total energy, the calculation gives -3.192 eV per atom.

Cell: 8.3682 8.3682 3.3943 Å, 90.00 90.00 90.00°
Atoms (fractional coordinates):
1 Sn 0.3125 0.8125 0.0000
2 Sn 0.8125 0.6875 0.0000
3 Sn 0.6875 0.1875 0.0000
4 Sn 0.1875 0.3125 0.0000
5 Ag 0.1159 0.6159 0.5000
6 Ag 0.6159 0.8841 0.5000
7 Ag 0.8841 0.3841 0.5000
8 Ag 0.3841 0.1159 0.5000
9 Cl 0.0000 0.0000 0.0000
10 Cl 0.5000 0.5000 0.0000